# Al2TcSn

A geometry-optimized Al2TcSn structure (PBE, OQMD via LeMat-Bulk).

As for the total energy: -20.8 eV per formula unit. The magnetization comes out at 0.006 μB/f.u.

It has space group F-43m (No. 216), with a = 6.471 Å, b = 6.471 Å, c = 6.471 Å, α = 90.00°, β = 90.00° and γ = 90.00°. The inequivalent atoms are Al at (0.000, 0.000, 0.000), Al at (0.250, 0.250, 0.250), Tc at (0.000, 0.000, 0.500) and Sn at (0.250, 0.250, 0.750).


# TcNiB

A geometry-optimized TcNiB structure (PBE, OQMD via LeMat-Bulk).

As for the total energy: -20.6 eV per formula unit. The magnetization comes out at 1.963 μB/f.u. The calculation puts the energy above the most stable polymorph in this dataset at 0.00 eV/f.u.

It has space group F-43m (No. 216), with a = 5.255 Å, b = 5.255 Å, c = 5.255 Å, α = 90.00°, β = 90.00° and γ = 90.00°. The inequivalent atoms are Tc at (0.000, 0.000, 0.000), Ni at (0.250, 0.250, 0.750) and B at (0.000, 0.000, 0.500).


- The lowest magnetization belongs to which entry?
  Al2TcSn


- Which of these has the lowest magnetization?
  Al2TcSn


Copy entry 2 word for word.
# TcNiB

A geometry-optimized TcNiB structure (PBE, OQMD via LeMat-Bulk).

As for the total energy: -20.6 eV per formula unit. The magnetization comes out at 1.963 μB/f.u. The calculation puts the energy above the most stable polymorph in this dataset at 0.00 eV/f.u.

It has space group F-43m (No. 216), with a = 5.255 Å, b = 5.255 Å, c = 5.255 Å, α = 90.00°, β = 90.00° and γ = 90.00°. The inequivalent atoms are Tc at (0.000, 0.000, 0.000), Ni at (0.250, 0.250, 0.750) and B at (0.000, 0.000, 0.500).